## KTi2Ni (PBE)

Data for a geometry-optimized KTi2Ni structure.

Lattice parameters (Å, degrees): 6.554 6.554 6.554 90.00 90.00 90.00
Space group Fm-3m (No. 225)
Unique sites:
K: 0.000 0.000 0.000 x4
Ti: 0.250 0.250 0.250 x8
Ni: 0.000 0.000 0.500 x4

Properties
Distance to the lowest polymorph of the same formula (eV/f.u.): 0.00
Formation enthalpy at 0 K (eV/atom): 0.9728
N(E_F) (states/eV per cell): 46.15
Calculated volume (Å³/cell): 282